No. 1
The following is a DFT calculation (PBE) of crystalline AcPm4Au4 at its relaxed geometry.

Calculated values
Volume, Å³ per cell: 565.2
Raw total energy, eV per cell: -83.0

Unit cell a=9.628 b=9.628 c=6.097 alpha=90.00 beta=90.00 gamma=90.00
Space group P4_2/n (No. 86, origin choice 2)
Symmetry-distinct sites (fractional):
Ac  0.250  0.250  0.250 [2 per cell]
Pm  0.081  0.650  0.162 [8 per cell]
Au  0.043  0.617  0.657 [8 per cell]

No. 2
The following is a DFT calculation (PBE) of crystalline CrGaOsRh at its relaxed geometry.

Calculated values
Volume, Å³ per cell: 220.4
Raw total energy, eV per cell: -127.9

Unit cell a=6.041 b=6.041 c=6.041 alpha=90.00 beta=90.00 gamma=90.00
Space group F-43m (No. 216)
Symmetry-distinct sites (fractional):
Cr  0.000  0.000  0.000 [4 per cell]
Ga  0.000  0.000  0.500 [4 per cell]
Os  0.250  0.250  0.250 [4 per cell]
Rh  0.250  0.250  0.750 [4 per cell]

No. 3
The following is a DFT calculation (PBE) of crystalline ZrAl2Pt at its relaxed geometry.

Calculated values
Volume, Å³ per cell: 141.9
Raw total energy, eV per cell: -49.0

Unit cell a=2.877 b=5.134 c=9.605 alpha=90.00 beta=90.00 gamma=90.00
Space group Immm (No. 71)
Symmetry-distinct sites (fractional):
Zr  0.000  0.000  0.000 [2 per cell]
Al  0.000  0.500  0.225 [4 per cell]
Pt  0.000  0.000  0.500 [2 per cell]

No. 4
The following is a DFT calculation (PBE) of crystalline SrCd6 at its relaxed geometry.

Calculated values
Volume, Å³ per cell: 4191.2
Raw total energy, eV per cell: -206.3

Unit cell a=16.012 b=16.080 c=16.278 alpha=90.00 beta=90.00 gamma=90.00
Space group Immm (No. 71)
Symmetry-distinct sites (fractional):
Sr  0.000  0.188  0.196 [8 per cell]
Sr  0.183  0.299  0.500 [8 per cell]
Sr  0.199  0.500  0.189 [8 per cell]
Cd  0.000  0.000  0.086 [4 per cell]
Cd  0.000  0.222  0.410 [8 per cell]
Cd  0.000  0.313  0.000 [4 per cell]
Cd  0.000  0.404  0.154 [8 per cell]
Cd  0.000  0.407  0.500 [4 per cell]
Cd  0.000  0.500  0.310 [4 per cell]
Cd  0.089  0.000  0.414 [8 per cell]
Cd  0.093  0.500  0.000 [4 per cell]
Cd  0.097  0.000  0.240 [8 per cell]
Cd  0.098  0.157  0.000 [8 per cell]
Cd  0.112  0.340  0.300 [16 per cell]
Cd  0.153  0.500  0.405 [8 per cell]
Cd  0.159  0.302  0.115 [16 per cell]
Cd  0.162  0.162  0.336 [16 per cell]
Cd  0.189  0.000  0.000 [4 per cell]
Cd  0.206  0.123  0.157 [16 per cell]
Cd  0.238  0.094  0.500 [8 per cell]

No. 5
The following is a DFT calculation (PBE) of crystalline Zn2Hg2I7 at its relaxed geometry.

Calculated values
Volume, Å³ per cell: 1069.1
Raw total energy, eV per cell: -33.6

Unit cell a=13.882 b=7.033 c=11.448 alpha=90.00 beta=106.95 gamma=90.00
Space group C2/m (No. 12)
Symmetry-distinct sites (fractional):
Zn  0.191  0.000  0.498 [4 per cell]
Hg  0.000  0.194  0.000 [4 per cell]
I  0.000  0.000  0.500 [2 per cell]
I  0.119  0.500  0.931 [4 per cell]
I  0.208  0.250  0.321 [8 per cell]

No. 6
The following is a DFT calculation (PBE) of crystalline Fe3HRh at its relaxed geometry.

Calculated values
Volume, Å³ per cell: 100.9
Raw total energy, eV per cell: -27.7

Unit cell a=4.656 b=4.656 c=4.656 alpha=90.00 beta=90.00 gamma=90.00
Space group Pm-3m (No. 221)
Symmetry-distinct sites (fractional):
Fe  0.000  0.000  0.500 [3 per cell]
H  0.500  0.500  0.500 [1 per cell]
Rh  0.000  0.000  0.000 [1 per cell]

No. 7
The following is a DFT calculation (PBE) of crystalline Ce2Pd5Rh at its relaxed geometry.

Calculated values
Volume, Å³ per cell: 282.4
Raw total energy, eV per cell: -103.5

Unit cell a=5.881 b=11.755 c=4.086 alpha=90.00 beta=90.00 gamma=90.00
Space group Pbam (No. 55)
Symmetry-distinct sites (fractional):
Ce  0.232  0.120  0.000 [4 per cell]
Pd  0.000  0.500  0.500 [2 per cell]
Pd  0.016  0.749  0.500 [4 per cell]
Pd  0.237  0.372  0.000 [4 per cell]
Rh  0.000  0.000  0.500 [2 per cell]

No. 8
The following is a DFT calculation (PBE) of crystalline RbNbBiPd2 at its relaxed geometry.

Calculated values
Volume, Å³ per cell: 163.1
Raw total energy, eV per cell: -17.7

Unit cell a=5.165 b=5.165 c=6.115 alpha=90.00 beta=90.00 gamma=90.00
Space group P4/mmm (No. 123)
Symmetry-distinct sites (fractional):
Rb  0.000  0.000  0.000 [1 per cell]
Nb  0.500  0.500  0.000 [1 per cell]
Bi  0.000  0.000  0.500 [1 per cell]
Pd  0.000  0.500  0.500 [2 per cell]

No. 9
The following is a DFT calculation (PBE) of crystalline LaGeHRh3 at its relaxed geometry.

Calculated values
Volume, Å³ per cell: 381.5
Raw total energy, eV per cell: -154.9

Unit cell a=5.887 b=11.169 c=5.802 alpha=90.00 beta=90.00 gamma=90.00
Space group Cmcm (No. 63)
Symmetry-distinct sites (fractional):
La  0.000  0.243  0.250 [4 per cell]
Ge  0.000  0.109  0.750 [4 per cell]
H  0.000  0.499  0.250 [4 per cell]
Rh  0.000  0.322  0.750 [4 per cell]
Rh  0.234  0.500  0.000 [8 per cell]

No. 10
The following is a DFT calculation (PBE) of crystalline Cu2AgMo at its relaxed geometry.

Calculated values
Volume, Å³ per cell: 57.7
Raw total energy, eV per cell: -20.6

Unit cell a=2.626 b=4.237 c=5.347 alpha=90.00 beta=103.95 gamma=90.00
Space group Pm (No. 6)
Symmetry-distinct sites (fractional):
Cu  0.000  0.000  0.000 [1 per cell]
Cu  0.127  0.500  0.268 [1 per cell]
Ag  0.388  0.500  0.783 [1 per cell]
Mo  0.726  0.000  0.465 [1 per cell]

No. 11
The following is a DFT calculation (PBE) of crystalline LaThAsP at its relaxed geometry.

Calculated values
Volume, Å³ per cell: 108.6
Raw total energy, eV per cell: -28.5

Unit cell a=4.246 b=4.246 c=6.023 alpha=90.00 beta=90.00 gamma=90.00
Space group P4/mmm (No. 123)
Symmetry-distinct sites (fractional):
La  0.000  0.000  0.000 [1 per cell]
Th  0.500  0.500  0.500 [1 per cell]
As  0.500  0.500  0.000 [1 per cell]
P  0.000  0.000  0.500 [1 per cell]

No. 12
The following is a DFT calculation (PBE) of crystalline CuIrBr2 at its relaxed geometry.

Calculated values
Volume, Å³ per cell: 288.3
Raw total energy, eV per cell: -50.4

Unit cell a=6.606 b=6.606 c=6.606 alpha=90.00 beta=90.00 gamma=90.00
Space group Fm-3m (No. 225)
Symmetry-distinct sites (fractional):
Cu  0.000  0.000  0.000 [4 per cell]
Ir  0.000  0.000  0.500 [4 per cell]
Br  0.250  0.250  0.250 [8 per cell]